Computed, not measured: ScRu2Cl after structural relaxation at the PBE level of DFT.

a = 3.4505 Å, b = 7.1460 Å, c = 7.1460 Å
α = 24.31°, β = 90.00°, γ = 90.00°
Positions (direct):
Sc1 0.0000 0.0000 0.0000
Ru1 0.0000 0.7972 0.7972
Ru2 0.5000 0.3719 0.3719
Cl1 0.5000 0.6127 0.6127

Its crystal system is orthorhombic. The calculated volume comes out at 72.53 Å³ per cell. The space group is Amm2. For the formation energy without anion corrections, the calculation gives -88 kJ/mol of formula units. The energy relative to the lowest polymorph listed for this composition is 0.000 eV/atom.